[1]
# GGA-PBE Pr4AlSn3, optimized geometry
# Spin magnetization, μB/f.u.: 0.002
# Electronic total energy, eV per formula unit: -40.419
# Formation enthalpy at 0 K, meV per atom: -694
data_Pr4AlSn3
_chemical_formula_sum 'Pr4 Al1 Sn3'
_symmetry_space_group_name_H-M 'P 1'
_symmetry_Int_Tables_number 1
_symmetry_space_group_name_Hall 'P 1'
_cell_length_a 4.711
_cell_length_b 4.371
_cell_length_c 11.788
_cell_angle_alpha 90.00
_cell_angle_beta 90.00
_cell_angle_gamma 90.00
loop_
_atom_site_label
_atom_site_type_symbol
_atom_site_fract_x
_atom_site_fract_y
_atom_site_fract_z
_atom_site_occupancy
Pr1 Pr 0.500 0.500 0.357 1
Pr2 Pr 0.000 0.500 0.865 1
Pr3 Pr 0.000 0.000 0.137 1
Pr4 Pr 0.500 0.000 0.638 1
Al1 Al 0.500 0.500 0.078 1
Sn1 Sn 0.000 0.500 0.588 1
Sn2 Sn 0.000 0.000 0.413 1
Sn3 Sn 0.500 0.000 0.923 1

[2]
# GGA-PBE SrPr2Al9, optimized geometry
# Spin magnetization, μB/f.u.: 0.000
# Electronic total energy, eV per formula unit: -48.856
# Formation enthalpy at 0 K, meV per atom: -328
data_SrPr2Al9
_chemical_formula_sum 'Sr1 Pr2 Al9'
_symmetry_space_group_name_H-M 'P 1'
_symmetry_Int_Tables_number 1
_symmetry_space_group_name_Hall 'P 1'
_cell_length_a 5.776
_cell_length_b 5.776
_cell_length_c 9.475
_cell_angle_alpha 72.25
_cell_angle_beta 72.25
_cell_angle_gamma 60.00
loop_
_atom_site_label
_atom_site_type_symbol
_atom_site_fract_x
_atom_site_fract_y
_atom_site_fract_z
_atom_site_occupancy
Sr1 Sr 0.000 0.000 0.000 1
Pr1 Pr 0.858 0.858 0.425 1
Pr2 Pr 0.142 0.142 0.575 1
Al1 Al 0.664 0.664 0.007 1
Al2 Al 0.336 0.336 0.993 1
Al3 Al 0.500 0.500 0.500 1
Al4 Al 0.413 0.413 0.249 1
Al5 Al 0.925 0.413 0.249 1
Al6 Al 0.413 0.925 0.249 1
Al7 Al 0.587 0.587 0.751 1
Al8 Al 0.587 0.075 0.751 1
Al9 Al 0.075 0.587 0.751 1

[3]
# GGA-PBE SrPr2Al, optimized geometry
# Spin magnetization, μB/f.u.: 0.000
# Electronic total energy, eV per formula unit: -15.036
# Formation enthalpy at 0 K, meV per atom: -13
data_SrPr2Al
_chemical_formula_sum 'Sr1 Pr2 Al1'
_symmetry_space_group_name_H-M 'P 1'
_symmetry_Int_Tables_number 1
_symmetry_space_group_name_Hall 'P 1'
_cell_length_a 4.965
_cell_length_b 5.100
_cell_length_c 5.100
_cell_angle_alpha 90.00
_cell_angle_beta 90.00
_cell_angle_gamma 90.00
loop_
_atom_site_label
_atom_site_type_symbol
_atom_site_fract_x
_atom_site_fract_y
_atom_site_fract_z
_atom_site_occupancy
Pr1 Pr 0.000 0.000 0.500 1
Pr2 Pr 0.000 0.500 0.000 1
Sr1 Sr 0.500 0.000 0.000 1
Al1 Al 0.500 0.500 0.500 1

[4]
# GGA-PBE SrPrAl, optimized geometry
# Spin magnetization, μB/f.u.: 0.000
# Electronic total energy, eV per formula unit: -10.515
# Formation enthalpy at 0 K, meV per atom: -104
data_SrPrAl
_chemical_formula_sum 'Sr2 Pr2 Al2'
_symmetry_space_group_name_H-M 'P 1'
_symmetry_Int_Tables_number 1
_symmetry_space_group_name_Hall 'P 1'
_cell_length_a 5.294
_cell_length_b 5.294
_cell_length_c 9.103
_cell_angle_alpha 89.98
_cell_angle_beta 89.95
_cell_angle_gamma 59.99
loop_
_atom_site_label
_atom_site_type_symbol
_atom_site_fract_x
_atom_site_fract_y
_atom_site_fract_z
_atom_site_occupancy
Sr1 Sr 0.666 0.167 0.344 1
Sr2 Sr 0.334 0.833 0.656 1
Pr1 Pr 0.667 0.167 0.908 1
Pr2 Pr 0.333 0.833 0.092 1
Al1 Al 0.000 0.500 0.850 1
Al2 Al 0.000 0.500 0.150 1

[5]
# GGA-PBE SrPr2Al, optimized geometry
# Spin magnetization, μB/f.u.: 0.001
# Electronic total energy, eV per formula unit: -14.629
# Formation enthalpy at 0 K, meV per atom: 89
data_SrPr2Al
_chemical_formula_sum 'Sr1 Pr2 Al1'
_symmetry_space_group_name_H-M 'P 1'
_symmetry_Int_Tables_number 1
_symmetry_space_group_name_Hall 'P 1'
_cell_length_a 5.293
_cell_length_b 5.293
_cell_length_c 6.615
_cell_angle_alpha 66.42
_cell_angle_beta 66.42
_cell_angle_gamma 60.00
loop_
_atom_site_label
_atom_site_type_symbol
_atom_site_fract_x
_atom_site_fract_y
_atom_site_fract_z
_atom_site_occupancy
Pr1 Pr 0.276 0.276 0.171 1
Pr2 Pr 0.724 0.724 0.829 1
Sr1 Sr 0.500 0.500 0.500 1
Al1 Al 0.000 0.000 0.000 1

[6]
# GGA-PBE SrPrAl4, optimized geometry
# Spin magnetization, μB/f.u.: 0.000
# Electronic total energy, eV per formula unit: -23.582
# Formation enthalpy at 0 K, meV per atom: -358
data_SrPrAl4
_chemical_formula_sum 'Sr1 Pr1 Al4'
_symmetry_space_group_name_H-M 'P 1'
_symmetry_Int_Tables_number 1
_symmetry_space_group_name_Hall 'P 1'
_cell_length_a 5.772
_cell_length_b 5.772
_cell_length_c 5.772
_cell_angle_alpha 60.00
_cell_angle_beta 60.00
_cell_angle_gamma 60.00
loop_
_atom_site_label
_atom_site_type_symbol
_atom_site_fract_x
_atom_site_fract_y
_atom_site_fract_z
_atom_site_occupancy
Pr1 Pr 0.000 0.000 0.000 1
Sr1 Sr 0.250 0.250 0.250 1
Al1 Al 0.625 0.625 0.124 1
Al2 Al 0.625 0.124 0.625 1
Al3 Al 0.625 0.625 0.625 1
Al4 Al 0.124 0.625 0.625 1

[7]
# GGA-PBE SrPr2Al, optimized geometry
# Spin magnetization, μB/f.u.: 0.000
# Electronic total energy, eV per formula unit: -15.322
# Formation enthalpy at 0 K, meV per atom: -85
data_SrPr2Al
_chemical_formula_sum 'Sr1 Pr2 Al1'
_symmetry_space_group_name_H-M 'P 1'
_symmetry_Int_Tables_number 1
_symmetry_space_group_name_Hall 'P 1'
_cell_length_a 3.809
_cell_length_b 3.809
_cell_length_c 9.767
_cell_angle_alpha 90.00
_cell_angle_beta 90.00
_cell_angle_gamma 90.00
loop_
_atom_site_label
_atom_site_type_symbol
_atom_site_fract_x
_atom_site_fract_y
_atom_site_fract_z
_atom_site_occupancy
Pr1 Pr 0.000 0.000 0.817 1
Pr2 Pr 0.000 0.000 0.183 1
Sr1 Sr 0.500 0.500 0.500 1
Al1 Al 0.500 0.500 0.000 1

[8]
# GGA-PBE SrPrAl, optimized geometry
# Spin magnetization, μB/f.u.: 0.000
# Electronic total energy, eV per formula unit: -10.543
# Formation enthalpy at 0 K, meV per atom: -113
data_SrPrAl
_chemical_formula_sum 'Sr1 Pr1 Al1'
_symmetry_space_group_name_H-M 'P 1'
_symmetry_Int_Tables_number 1
_symmetry_space_group_name_Hall 'P 1'
_cell_length_a 3.834
_cell_length_b 3.834
_cell_length_c 7.498
_cell_angle_alpha 104.81
_cell_angle_beta 104.81
_cell_angle_gamma 90.00
loop_
_atom_site_label
_atom_site_type_symbol
_atom_site_fract_x
_atom_site_fract_y
_atom_site_fract_z
_atom_site_occupancy
Pr1 Pr 0.296 0.296 0.593 1
Sr1 Sr 0.026 0.026 0.051 1
Al1 Al 0.678 0.678 0.356 1

Copy entry 5 word for word.
# GGA-PBE SrPr2Al, optimized geometry
# Spin magnetization, μB/f.u.: 0.001
# Electronic total energy, eV per formula unit: -14.629
# Formation enthalpy at 0 K, meV per atom: 89
data_SrPr2Al
_chemical_formula_sum 'Sr1 Pr2 Al1'
_symmetry_space_group_name_H-M 'P 1'
_symmetry_Int_Tables_number 1
_symmetry_space_group_name_Hall 'P 1'
_cell_length_a 5.293
_cell_length_b 5.293
_cell_length_c 6.615
_cell_angle_alpha 66.42
_cell_angle_beta 66.42
_cell_angle_gamma 60.00
loop_
_atom_site_label
_atom_site_type_symbol
_atom_site_fract_x
_atom_site_fract_y
_atom_site_fract_z
_atom_site_occupancy
Pr1 Pr 0.276 0.276 0.171 1
Pr2 Pr 0.724 0.724 0.829 1
Sr1 Sr 0.500 0.500 0.500 1
Al1 Al 0.000 0.000 0.000 1

> Among the records above, which one has the lowest electronic total energy?

SrPr2Al9

Copy entry 2 word for word.
# GGA-PBE SrPr2Al9, optimized geometry
# Spin magnetization, μB/f.u.: 0.000
# Electronic total energy, eV per formula unit: -48.856
# Formation enthalpy at 0 K, meV per atom: -328
data_SrPr2Al9
_chemical_formula_sum 'Sr1 Pr2 Al9'
_symmetry_space_group_name_H-M 'P 1'
_symmetry_Int_Tables_number 1
_symmetry_space_group_name_Hall 'P 1'
_cell_length_a 5.776
_cell_length_b 5.776
_cell_length_c 9.475
_cell_angle_alpha 72.25
_cell_angle_beta 72.25
_cell_angle_gamma 60.00
loop_
_atom_site_label
_atom_site_type_symbol
_atom_site_fract_x
_atom_site_fract_y
_atom_site_fract_z
_atom_site_occupancy
Sr1 Sr 0.000 0.000 0.000 1
Pr1 Pr 0.858 0.858 0.425 1
Pr2 Pr 0.142 0.142 0.575 1
Al1 Al 0.664 0.664 0.007 1
Al2 Al 0.336 0.336 0.993 1
Al3 Al 0.500 0.500 0.500 1
Al4 Al 0.413 0.413 0.249 1
Al5 Al 0.925 0.413 0.249 1
Al6 Al 0.413 0.925 0.249 1
Al7 Al 0.587 0.587 0.751 1
Al8 Al 0.587 0.075 0.751 1
Al9 Al 0.075 0.587 0.751 1